1.
Material: YGa2ReS
Method: DFT, meta-GGA SCAN
State: PBEsol geometry

Properties
uncorrected formation energy	0.035	eV per atom
size of the total moment	0.00	Bohr magnetons per cell

a b c (Å): 4.706 4.706 5.279
angles (deg): 90.00 90.00 90.00
Space group P4/mmm (No. 123)
Inequivalent atoms, fractional coordinates:
Y: 0.000 0.000 0.000
Ga: 0.000 0.500 0.500
Re: 0.000 0.000 0.500
S: 0.500 0.500 0.000

---

2.
Material: BaAl2Au
Method: DFT, meta-GGA SCAN
State: PBEsol geometry

Properties
raw total energy	-31.668	eV per atom
size of the total moment	0.00	Bohr magnetons per cell

a b c (Å): 4.4225 4.4225 18.3199
angles (deg): 90.00 90.00 120.00
Space group R3m (No. 160, hexagonal axes)
Inequivalent atoms, fractional coordinates:
Ba: 0.0000 0.0000 0.0000
Al: 0.0000 0.0000 0.5314
Al: 0.0000 0.0000 0.8009
Au: 0.0000 0.0000 0.1833

---

3.
Material: LaCrO4
Method: DFT, meta-GGA SCAN
State: PBEsol geometry

Properties
uncorrected formation energy	-2.893	eV per atom
size of the total moment	4.00	Bohr magnetons per cell

a b c (Å): 6.615 7.204 8.290
angles (deg): 90.00 125.41 90.00
Space group P2_1/c (No. 14)
Inequivalent atoms, fractional coordinates:
La: 0.177 0.156 0.280
Cr: 0.312 0.666 0.198
O: 0.103 0.658 0.612
O: 0.182 0.003 0.755
O: 0.344 0.609 0.017
O: 0.391 0.218 0.118

---

4.
Material: CaCd2Rh
Method: DFT, meta-GGA SCAN
State: PBEsol geometry

Properties
raw total energy	-26.266	eV per atom
size of the total moment	0.00	Bohr magnetons per cell

a b c (Å): 6.779 6.779 6.779
angles (deg): 90.00 90.00 90.00
Space group F-43m (No. 216)
Inequivalent atoms, fractional coordinates:
Ca: 0.000 0.000 0.000
Cd: 0.000 0.000 0.500
Cd: 0.250 0.250 0.250
Rh: 0.250 0.250 0.750

---

5.
Material: AlCr2As
Method: DFT, meta-GGA SCAN
State: PBEsol geometry

Properties
ΔE to the lowest computed polymorph	0	meV per atom
size of the total moment	4.05	Bohr magnetons per cell

a b c (Å): 3.004 3.004 5.851
angles (deg): 90.00 90.00 90.00
Space group P4/mmm (No. 123)
Inequivalent atoms, fractional coordinates:
Al: 0.000 0.000 0.000
Cr: 0.500 0.500 0.268
As: 0.000 0.000 0.500

---

6.
Material: ScCd2Pt
Method: DFT, meta-GGA SCAN
State: PBEsol geometry

Properties
raw total energy	-36.711	eV per atom
size of the total moment	0.00	Bohr magnetons per cell

a b c (Å): 5.578 10.350 2.950
angles (deg): 90.00 118.66 90.00
Space group C2/m (No. 12)
Inequivalent atoms, fractional coordinates:
Sc: 0.000 0.000 0.000
Cd: 0.250 0.250 0.500
Pt: 0.000 0.500 0.000

---

7.
Material: Nb3TeSe
Method: DFT, meta-GGA SCAN
State: PBEsol geometry

Properties
uncorrected formation energy	0.599	eV per atom
size of the total moment	0.00	Bohr magnetons per cell

a b c (Å): 4.747 4.747 4.747
angles (deg): 90.00 90.00 90.00
Space group Pm-3m (No. 221)
Inequivalent atoms, fractional coordinates:
Nb: 0.000 0.000 0.500
Te: 0.500 0.500 0.500
Se: 0.000 0.000 0.000

---

8.
Material: Mn2C
Method: DFT, meta-GGA SCAN
State: PBEsol geometry

Properties
raw total energy	-15.463	eV per atom
size of the total moment	3.95	Bohr magnetons per cell

a b c (Å): 2.559 8.627 4.568
angles (deg): 90.00 90.00 90.00
Space group Cmc2_1 (No. 36)
Inequivalent atoms, fractional coordinates:
Mn: 0.000 0.029 0.000
Mn: 0.000 0.286 0.189
C: 0.000 0.385 0.786